*P*
Entry from Alexandria via LeMat-Bulk: crystalline Tb4Pm2Pr5 at its relaxed geometry (PBE).

The volume comes out at 35.8 Å³ per atom. Its size of the total moment is 0.00 μB per atom.

It has space group Immm (No. 71), with a = 3.566 Å, b = 9.303 Å, c = 23.728 Å, α = 90.00°, β = 90.00° and γ = 90.00°. Symmetry generates all atoms from Tb at (0.000, 0.000, 0.096), Tb at (0.000, 0.312, 0.500), Pm at (0.000, 0.000, 0.231), Pr at (0.000, 0.200, 0.354) and Pr at (0.000, 0.500, 0.000).

***

*Q*
Entry from Alexandria via LeMat-Bulk: crystalline Tb4Pm2Pr5 at its relaxed geometry (PBE).

The volume comes out at 34.5 Å³ per atom. Its size of the total moment is 0.00 μB per atom.

It has space group C2/m (No. 12), with a = 18.001 Å, b = 3.583 Å, c = 11.804 Å, α = 90.00°, β = 93.97° and γ = 90.00°. Symmetry generates all atoms from Tb at (0.033, 0.000, 0.260), Tb at (0.140, 0.500, 0.798), Pm at (0.216, 0.500, 0.353), Pr at (0.000, 0.500, 0.000), Pr at (0.096, 0.000, 0.536) and Pr at (0.176, 0.000, 0.071).

***

Energy comparison, zero being the most stable, in meV per atom: *P* 110; *Q* 0.

***

*P*
Entry from Alexandria via LeMat-Bulk: crystalline Tb2Pm5Pr4 at its relaxed geometry (PBE).

The volume comes out at 35.2 Å³ per atom. Its size of the total moment is 0.00 μB per atom.

It has space group C2/m (No. 12), with a = 24.502 Å, b = 3.585 Å, c = 8.856 Å, α = 90.00°, β = 94.44° and γ = 90.00°. Symmetry generates all atoms from Tb at (0.087, 0.000, 0.198), Pm at (0.000, 0.000, 0.500), Pm at (0.130, 0.500, 0.546), Pm at (0.184, 0.500, 0.975), Pr at (0.041, 0.500, 0.846) and Pr at (0.226, 0.000, 0.325).

***

*Q*
Entry from Alexandria via LeMat-Bulk: crystalline Tb2Pm5Pr4 at its relaxed geometry (PBE).

The volume comes out at 35.5 Å³ per atom. Its size of the total moment is 0.00 μB per atom.

It has space group Immm (No. 71), with a = 3.597 Å, b = 11.681 Å, c = 18.613 Å, α = 90.00°, β = 90.00° and γ = 90.00°. Symmetry generates all atoms from Tb at (0.000, 0.000, 0.203), Pm at (0.000, 0.291, 0.179), Pm at (0.000, 0.500, 0.500), Pr at (0.000, 0.000, 0.410) and Pr at (0.000, 0.258, 0.000).

***

Energy comparison, zero being the most stable, in meV per atom: *P* 0; *Q* 97.

***

*P*
Entry from Alexandria via LeMat-Bulk: crystalline Tb2Pm4Pr at its relaxed geometry (PBE).

The volume comes out at 34.5 Å³ per atom. Its size of the total moment is 0.00 μB per atom.

It has space group Immm (No. 71), with a = 3.580 Å, b = 5.826 Å, c = 23.164 Å, α = 90.00°, β = 90.00° and γ = 90.00°. Symmetry generates all atoms from Tb at (0.000, 0.000, 0.225), Pm at (0.000, 0.500, 0.138), Pm at (0.000, 0.500, 0.413) and Pr at (0.000, 0.000, 0.500).

***

*Q*
Entry from Alexandria via LeMat-Bulk: crystalline Tb2Pm4Pr at its relaxed geometry (PBE).

The volume comes out at 33.8 Å³ per atom. Its size of the total moment is 0.00 μB per atom.

It has space group P2_1/m (No. 11), with a = 6.181 Å, b = 6.694 Å, c = 11.811 Å, α = 90.00°, β = 104.38° and γ = 90.00°. Symmetry generates all atoms from Tb at (0.097, 0.250, 0.000), Tb at (0.352, 0.750, 0.559), Pm at (0.142, 0.003, 0.287), Pm at (0.208, 0.250, 0.562), Pm at (0.348, 0.750, 0.848) and Pr at (0.487, 0.750, 0.150).

***

Energy comparison, zero being the most stable, in meV per atom: *P* 0; *Q* 31.